1.
Crystalline KAuBr at its relaxed geometry. Source: the Alexandria database, functional PBE-GGA.

Lattice parameters (Å, degrees): 7.535 7.535 7.535 90.00 90.00 90.00
Atoms (fractional coordinates):
K (0.000, 0.000, 0.000)
K (0.000, 0.500, 0.500)
K (0.500, 0.000, 0.500)
K (0.500, 0.500, 0.000)
Au (0.250, 0.250, 0.750)
Au (0.250, 0.750, 0.250)
Au (0.750, 0.250, 0.250)
Au (0.750, 0.750, 0.750)
Br (0.250, 0.250, 0.250)
Br (0.250, 0.750, 0.750)
Br (0.750, 0.250, 0.750)
Br (0.750, 0.750, 0.250)

ΔE to the lowest computed polymorph = 0.365 eV/atom
Energy relative to the elements, uncorrected = -0.8 eV per formula unit

***

2.
Crystalline Li2ZrCu at its relaxed geometry. Source: the Alexandria database, functional PBE-GGA.

Lattice parameters (Å, degrees): 2.912 3.360 7.074 90.00 90.00 90.00
Atoms (fractional coordinates):
Li (0.000, 0.000, 0.000)
Li (0.500, 0.500, 0.241)
Zr (0.000, 0.000, 0.564)
Cu (0.500, 0.500, 0.801)

ΔE to the lowest computed polymorph = 0.000 eV/atom

***

3.
Crystalline BTe3O at its relaxed geometry. Source: the Alexandria database, functional PBE-GGA.

Lattice parameters (Å, degrees): 4.781 4.781 4.781 90.00 90.00 90.00
Atoms (fractional coordinates):
B (0.000, 0.000, 0.000)
Te (0.000, 0.500, 0.500)
Te (0.500, 0.000, 0.500)
Te (0.500, 0.500, 0.000)
O (0.500, 0.500, 0.500)

ΔE to the lowest computed polymorph = 0.000 eV/atom
Energy relative to the elements, uncorrected = 4.8 eV per formula unit

***

4.
Crystalline Mg12ZnGa3 at its relaxed geometry. Source: the Alexandria database, functional PBE-GGA.

Lattice parameters (Å, degrees): 4.338 4.338 17.445 90.00 90.00 90.00
Atoms (fractional coordinates):
Mg (0.000, 0.000, 0.000)
Mg (0.000, 0.000, 0.249)
Mg (0.000, 0.000, 0.500)
Mg (0.000, 0.000, 0.751)
Mg (0.000, 0.500, 0.124)
Mg (0.000, 0.500, 0.375)
Mg (0.000, 0.500, 0.625)
Mg (0.000, 0.500, 0.876)
Mg (0.500, 0.000, 0.124)
Mg (0.500, 0.000, 0.375)
Mg (0.500, 0.000, 0.625)
Mg (0.500, 0.000, 0.876)
Zn (0.500, 0.500, 0.000)
Ga (0.500, 0.500, 0.249)
Ga (0.500, 0.500, 0.500)
Ga (0.500, 0.500, 0.751)

Energy = -30.59 eV per cell

***

5.
Crystalline K2PAu at its relaxed geometry. Source: the Alexandria database, functional PBE-GGA.

Lattice parameters (Å, degrees): 3.676 3.676 9.793 90.00 90.00 90.00
Atoms (fractional coordinates):
K (0.000, 0.000, 0.000)
K (0.500, 0.500, 0.418)
P (0.000, 0.000, 0.685)
Au (0.500, 0.500, 0.730)

Energy = -10.97 eV per cell

***

6.
Crystalline Rb2Pm2PdO6 at its relaxed geometry. Source: the Alexandria database, functional PBE-GGA.

Lattice parameters (Å, degrees): 5.953 5.953 6.909 97.33 97.33 119.50
Atoms (fractional coordinates):
Rb (0.161, 0.839, 0.000)
Rb (0.839, 0.161, 0.000)
Pm (0.335, 0.665, 0.500)
Pm (0.665, 0.335, 0.500)
Pd (0.000, 0.000, 0.500)
O (0.046, 0.351, 0.666)
O (0.246, 0.246, 0.330)
O (0.351, 0.046, 0.666)
O (0.649, 0.954, 0.334)
O (0.754, 0.754, 0.670)
O (0.954, 0.649, 0.334)

Energy relative to the elements, uncorrected = -21.7 eV per formula unit

***

7.
Crystalline Y2ZrRe at its relaxed geometry. Source: the Alexandria database, functional PBE-GGA.

Lattice parameters (Å, degrees): 4.982 4.982 7.315 90.00 90.00 90.00
Atoms (fractional coordinates):
Y (0.000, 0.000, 0.000)
Y (0.000, 0.500, 0.250)
Y (0.500, 0.000, 0.750)
Y (0.500, 0.500, 0.500)
Zr (0.000, 0.500, 0.750)
Zr (0.500, 0.000, 0.250)
Re (0.000, 0.000, 0.500)
Re (0.500, 0.500, 0.000)

ΔE to the lowest computed polymorph = 0.226 eV/atom

***

8.
Crystalline Nd2SmTmSc at its relaxed geometry. Source: the Alexandria database, functional PBE-GGA.

Lattice parameters (Å, degrees): 7.025 7.025 7.202 90.00 90.00 108.27
Atoms (fractional coordinates):
Nd (0.199, 0.199, 0.000)
Nd (0.199, 0.199, 0.500)
Nd (0.801, 0.801, 0.000)
Nd (0.801, 0.801, 0.500)
Sm (0.228, 0.772, 0.750)
Sm (0.772, 0.228, 0.250)
Tm (0.240, 0.760, 0.250)
Tm (0.760, 0.240, 0.750)
Sc (0.490, 0.510, 0.750)
Sc (0.510, 0.490, 0.250)

Energy = -46.50 eV per cell

***

9.
Crystalline SrCo4Te at its relaxed geometry. Source: the Alexandria database, functional PBE-GGA.

Lattice parameters (Å, degrees): 5.165 5.165 5.165 60.00 60.00 60.00
Atoms (fractional coordinates):
Sr (0.000, 0.000, 0.000)
Co (0.375, 0.375, 0.375)
Co (0.375, 0.375, 0.874)
Co (0.375, 0.874, 0.375)
Co (0.874, 0.375, 0.375)
Te (0.750, 0.750, 0.750)

Energy relative to the elements, uncorrected = 1.7 eV per formula unit

***

10.
Crystalline AsBrCl at its relaxed geometry. Source: the Alexandria database, functional PBE-GGA.

Lattice parameters (Å, degrees): 5.205 7.086 7.251 71.50 74.17 85.85
Atoms (fractional coordinates):
As (0.046, 0.315, 0.055)
As (0.954, 0.685, 0.945)
Br (0.122, 0.737, 0.199)
Br (0.878, 0.263, 0.801)
Cl (0.318, 0.749, 0.688)
Cl (0.682, 0.251, 0.312)

ΔE to the lowest computed polymorph = 0.000 eV/atom
Energy relative to the elements, uncorrected = -1.5 eV per formula unit

***

11.
Crystalline KSc6O8 at its relaxed geometry. Source: the Alexandria database, functional PBE-GGA.

Lattice parameters (Å, degrees): 6.206 6.206 6.206 95.01 95.01 95.01
Atoms (fractional coordinates):
K (0.000, 0.000, 0.000)
Sc (0.188, 0.570, 0.357)
Sc (0.357, 0.188, 0.570)
Sc (0.430, 0.643, 0.812)
Sc (0.570, 0.357, 0.188)
Sc (0.643, 0.812, 0.430)
Sc (0.812, 0.430, 0.643)
O (0.150, 0.431, 0.667)
O (0.260, 0.260, 0.260)
O (0.333, 0.850, 0.569)
O (0.431, 0.667, 0.150)
O (0.569, 0.333, 0.850)
O (0.667, 0.150, 0.431)
O (0.740, 0.740, 0.740)
O (0.850, 0.569, 0.333)

Energy relative to the elements, uncorrected = -44.9 eV per formula unit

***

12.
Crystalline MnTlI5 at its relaxed geometry. Source: the Alexandria database, functional PBE-GGA.

Lattice parameters (Å, degrees): 7.091 8.059 11.572 71.06 88.80 81.06
Atoms (fractional coordinates):
Mn (0.000, 0.000, 0.000)
Mn (0.500, 0.000, 0.000)
Tl (0.241, 0.383, 0.168)
Tl (0.759, 0.617, 0.832)
I (0.086, 0.160, 0.490)
I (0.190, 0.296, 0.884)
I (0.256, 0.921, 0.199)
I (0.300, 0.782, 0.904)
I (0.409, 0.355, 0.484)
I (0.591, 0.645, 0.516)
I (0.700, 0.218, 0.096)
I (0.744, 0.079, 0.801)
I (0.810, 0.704, 0.116)
I (0.914, 0.840, 0.510)

Energy relative to the elements, uncorrected = -2.4 eV per formula unit

***

Calculated density per entry: 4906 4047 6225 2864 3841 5342 8328 6424 7684 2590 3072 4807 kg/m³